(1)
A geometry-optimized Li3TlTe structure. Source: Alexandria via LeMat-Bulk, functional PBE-GGA.

The structure in extended XYZ format:
```
5
Lattice="-1.727 4.557 -1.864 -2.409 -2.505 -3.891 -4.293 -0.427 2.933" Properties=species:S:1:pos:R:3 pbc="T T T"
Tl -4.215 0.812 -1.411
Te 0.000 0.000 0.000
Li -1.205 -1.252 -1.945
Li -2.147 -0.213 1.467
Li -0.863 2.278 -0.932
```

calculated volume	142	Å³ per cell
total magnetic moment	0.0	Bohr magnetons per cell
E_form (uncorrected)	-0.369	eV per atom

(2)
A geometry-optimized RbLi3Al structure. Source: Alexandria via LeMat-Bulk, functional PBE-GGA.

The structure in extended XYZ format:
```
5
Lattice="-0.279 -2.472 -4.782 2.313 -4.379 2.129 -4.861 -1.942 1.288" Properties=species:S:1:pos:R:3 pbc="T T T"
Al 0.000 0.000 0.000
Rb -1.413 -4.396 -0.683
Li 1.157 -2.189 1.064
Li -2.430 -0.971 0.644
Li -0.139 -1.236 -2.391
```

uncorrected energy	-9.65	eV/cell
calculated volume	157	Å³ per cell
total magnetic moment	0.0	Bohr magnetons per cell